No. 1
Here is crystalline Er3ScSb2 at its relaxed geometry from Alexandria. Energies are from GGA-PBE.

Summary:
**Space group**: Ibam, No. 72
**Raw formation energy**: -18.36 kcal/mol of atoms

a b c (Å): 6.200 6.195 9.351
angles (deg): 109.34 109.36 90.00
Each line ends with the local moment (μB).
Element x y z (fractional)
Sb (0.383, 0.138, 0.276)  0.00
Er (0.500, 0.750, 0.000)  0.09
Er (0.077, 0.826, 0.652)  -0.01
Sb (0.617, 0.862, 0.724)  0.00
Sc (0.000, 0.750, 0.000)  0.12
Sb (0.107, 0.362, 0.724)  0.00
Sb (0.893, 0.638, 0.276)  0.00
Er (0.425, 0.674, 0.348)  -0.01
Er (0.575, 0.326, 0.652)  -0.01
Sc (0.000, 0.250, 0.000)  0.12
Er (0.923, 0.174, 0.348)  -0.01
Er (0.500, 0.250, 0.000)  0.09

No. 2
Here is crystalline Pr4ErAl4 at its relaxed geometry from Alexandria. Energies are from GGA-PBE.

Summary:
**Space group**: P4_2/n, No. 86
**Energy of formation from the pure elements**: -129 kJ/mol of formula units

a b c (Å): 6.095 8.948 8.948
angles (deg): 90.00 90.00 90.00
Element x y z (fractional)
Al (0.394, 0.815, 0.911)
Al (0.606, 0.911, 0.185)
Al (0.394, 0.185, 0.089)
Al (0.894, 0.589, 0.315)
Pr (0.125, 0.926, 0.327)
Pr (0.875, 0.673, 0.926)
Pr (0.375, 0.426, 0.827)
Er (0.500, 0.500, 0.500)
Al (0.106, 0.315, 0.411)
Pr (0.375, 0.574, 0.173)
Pr (0.875, 0.327, 0.074)
Al (0.894, 0.411, 0.685)
Al (0.606, 0.089, 0.815)
Er (0.000, 0.000, 0.000)
Pr (0.625, 0.827, 0.574)
Pr (0.625, 0.173, 0.426)
Pr (0.125, 0.074, 0.673)
Al (0.106, 0.685, 0.589)

No. 3
Here is crystalline Sr2InAg at its relaxed geometry from Alexandria. Energies are from GGA-PBE.

Summary:
**Space group**: P4mm, No. 99
**Energy of formation from the pure elements**: -61 kJ/mol of formula units

a b c (Å): 4.542 4.545 6.974
angles (deg): 90.00 90.00 90.00
Element x y z (fractional)
Sr (0.500, 0.500, 0.321)
In (0.500, 0.500, 0.793)
Sr (0.000, 0.000, 0.939)
Ag (0.000, 0.000, 0.447)

No. 4
Here is crystalline Li2PtBr at its relaxed geometry from Alexandria. Energies are from GGA-PBE.

Summary:
**Energy above the most stable polymorph in this dataset**: 0.2176 eV per atom
**Space group**: I-4m2, No. 119
**Raw formation energy**: -9.54 kcal/mol of atoms

a b c (Å): 5.597 5.597 5.597
angles (deg): 141.61 141.61 55.41
Element x y z (fractional)
Li (0.250, 0.750, 0.500)
Pt (0.500, 0.500, 0.000)
Li (0.000, 0.000, 0.000)
Br (0.750, 0.250, 0.500)

No. 5
Here is crystalline Ta2NbAs at its relaxed geometry from Alexandria. Energies are from GGA-PBE.

Summary:
**Space group**: Cm, No. 8
**Energy of formation from the pure elements**: 41 kJ/mol of formula units

a b c (Å): 3.261 3.261 8.254
angles (deg): 78.76 78.76 59.77
Element x y z (fractional)
Ta (0.077, 0.077, 0.763)
Nb (0.499, 0.499, 0.500)
As (0.668, 0.668, 0.997)
Ta (0.255, 0.255, 0.240)

No. 6
Here is crystalline TlReP2 at its relaxed geometry from Alexandria. Energies are from GGA-PBE.

Summary:
**Energy above the most stable polymorph in this dataset**: 0.3154 eV per atom
**Space group**: P4mm, No. 99
**Energy of formation from the pure elements**: 126 kJ/mol of formula units

a b c (Å): 3.117 3.117 7.755
angles (deg): 90.00 90.00 90.00
Element x y z (fractional)
Re (0.000, 0.000, 0.407)
P (0.500, 0.500, 0.278)
Tl (0.500, 0.500, 0.720)
P (0.000, 0.000, 0.095)

No. 7
Here is crystalline TaCdPd2 at its relaxed geometry from Alexandria. Energies are from GGA-PBE.

Summary:
**Space group**: R-3m, No. 166
**Energy of formation from the pure elements**: -86 kJ/mol of formula units

a b c (Å): 2.946 2.946 9.338
angles (deg): 80.92 80.92 60.00
Element x y z (fractional)
Pd (0.747, 0.747, 0.760)
Ta (0.000, 0.000, 0.000)
Pd (0.253, 0.253, 0.240)
Cd (0.500, 0.500, 0.500)

No. 8
Here is crystalline BeGe2Br at its relaxed geometry from Alexandria. Energies are from GGA-PBE.

Summary:
**Energy above the most stable polymorph in this dataset**: 0.0000 eV per atom
**Space group**: I-42d, No. 122
**Raw formation energy**: 7.75 kcal/mol of atoms

a b c (Å): 5.685 5.685 7.089
angles (deg): 66.36 66.36 90.00
Element x y z (fractional)
Ge (0.512, 0.125, 0.250)
Be (0.500, 0.500, 0.000)
Be (0.250, 0.750, 0.500)
Ge (0.875, 0.762, 0.750)
Ge (0.375, 0.488, 0.750)
Br (0.000, 0.000, 0.000)
Ge (0.238, 0.625, 0.250)
Br (0.750, 0.250, 0.500)

No. 9
Here is crystalline ScBe2Tc at its relaxed geometry from Alexandria. Energies are from GGA-PBE.

Summary:
**Energy above the most stable polymorph in this dataset**: 0.0659 eV per atom
**Space group**: Amm2, No. 38
**Energy of formation from the pure elements**: -61 kJ/mol of formula units

a b c (Å): 3.412 3.274 4.962
angles (deg): 70.76 90.00 90.00
Element x y z (fractional)
Be (0.000, 0.200, 0.976)
Sc (0.000, 0.461, 0.453)
Be (0.500, 0.077, 0.219)
Tc (0.500, 0.762, 0.852)

No. 10
Here is crystalline ZrNiS2Cl at its relaxed geometry from Alexandria. Energies are from GGA-PBE.

Summary:
**Energy above the most stable polymorph in this dataset**: 0.0000 eV per atom
**Space group**: P4/mmm, No. 123
**Raw formation energy**: -5.79 kcal/mol of atoms

a b c (Å): 4.502 4.502 4.332
angles (deg): 90.00 90.00 90.00
Element x y z (fractional)
S (0.000, 0.500, 0.000)
Cl (0.000, 0.000, 0.500)
Ni (0.000, 0.000, 0.000)
S (0.500, 0.000, 0.000)
Zr (0.500, 0.500, 0.500)

No. 11
Here is crystalline SiHgH3 at its relaxed geometry from Alexandria. Energies are from GGA-PBE.

Summary:
**Energy above the most stable polymorph in this dataset**: 0.5189 eV per atom
**Space group**: Pm-3m, No. 221

a b c (Å): 3.898 3.898 3.898
angles (deg): 90.00 90.00 90.00
Element x y z (fractional)
H (0.500, 0.000, 0.000)
H (0.000, 0.500, 0.000)
Hg (0.000, 0.000, 0.000)
Si (0.500, 0.500, 0.500)
H (0.000, 0.000, 0.500)

No. 12
Here is crystalline Pm15Sm4Y at its relaxed geometry from Alexandria. Energies are from GGA-PBE.

Summary:
**Space group**: P4/mmm, No. 123
**Energy of formation from the pure elements**: 28 kJ/mol of formula units

a b c (Å): 5.157 5.157 25.739
angles (deg): 90.00 90.00 90.00
Element x y z (fractional)
Pm (0.500, 0.500, 0.801)
Sm (0.000, 0.000, 0.400)
Y (0.000, 0.000, 0.000)
Sm (0.000, 0.000, 0.800)
Pm (0.000, 0.500, 0.500)
Pm (0.000, 0.500, 0.300)
Pm (0.500, 0.000, 0.300)
Pm (0.500, 0.500, 0.000)
Sm (0.000, 0.000, 0.200)
Pm (0.500, 0.000, 0.100)
Pm (0.000, 0.500, 0.700)
Pm (0.500, 0.000, 0.900)
Pm (0.500, 0.000, 0.700)
Pm (0.500, 0.500, 0.600)
Pm (0.500, 0.000, 0.500)
Pm (0.500, 0.500, 0.199)
Pm (0.000, 0.500, 0.100)
Pm (0.500, 0.500, 0.400)
Sm (0.000, 0.000, 0.600)
Pm (0.000, 0.500, 0.900)